Run P
First-principles (GGA-PBE) data for a relaxed Pm4Ho7Er crystal, as listed in the Alexandria database.

Output
Symmetry = No. 2

a b c (Å): 6.809 6.527 11.788
angles (deg): 75.35 50.05 81.88
Atoms (fractional coordinates):
Pm  0.527  0.639  0.284
Pm  0.473  0.361  0.716
Pm  0.689  0.838  0.694
Pm  0.311  0.162  0.306
Ho  0.803  0.512  0.950
Ho  0.197  0.488  0.050
Ho  0.057  0.318  0.641
Ho  0.943  0.682  0.359
Ho  0.277  0.812  0.616
Ho  0.500  0.000  0.000
Ho  0.723  0.188  0.384
Er  0.000  0.000  0.000

=====

Run Q
First-principles (GGA-PBE) data for a relaxed Pm4Ho7Er crystal, as listed in the Alexandria database.

Output
Symmetry = No. 12

a b c (Å): 5.893 11.628 6.718
angles (deg): 83.69 63.99 75.32
Atoms (fractional coordinates):
Pm  0.641  0.223  0.495
Pm  0.359  0.777  0.505
Pm  0.779  0.666  0.777
Pm  0.221  0.334  0.223
Ho  0.788  0.924  0.500
Ho  0.212  0.076  0.500
Ho  0.069  0.690  0.171
Ho  0.931  0.310  0.829
Ho  0.368  0.494  0.769
Ho  0.500  0.000  0.000
Ho  0.632  0.506  0.231
Er  0.000  0.000  0.000

=====

What should be chosen as the least stable of them? Choose run Q.